DFT (PBE with a Hubbard U) results for an optimized crystal structure of NiAuF2.

## Properties
Its energy above the lowest structure with this stoichiometry is 1039 meV per atom. Its final energy is -11.1 eV per formula unit. The magnetic moment comes out at 6.45 Bohr magnetons per cell.

a b c (Å): 5.9735 5.9735 5.9735
angles (deg): 90.00 90.00 90.00
With the nearest neighbours (Å) after each atom.
Space group Fm-3m (No. 225)
Unique sites:
Ni1 0.0000 0.0000 0.0000 x4  8 F 2.59
Au1 0.0000 0.0000 0.5000 x4  8 F 2.59
F1 0.2500 0.2500 0.2500 x8  4 Ni 2.59, 4 Au 2.59